VASP calculation (GGA-PBE) on ErTmN after structural relaxation.

Lattice parameters (Å, degrees): 4.190 4.190 4.190 60.00 60.00 60.00
Sites, in units of the cell vectors:
N  0.250  0.250  0.250
Er  0.000  0.000  0.000
Tm  0.500  0.500  0.500

Values from the calculation:
The calculation puts the electronic total energy at -6.08 eV per atom. The raw formation energy comes out at -0.295 eV per atom. The density of states at the Fermi level comes out at 2.17 states/eV/cell. The calculation puts the magnetic moment at 0.00 μB/f.u. Its energy above the most stable polymorph in this dataset is 795.8 meV/atom.

---

VASP calculation (GGA-PBE) on ErTm3N after structural relaxation.

Lattice parameters (Å, degrees): 4.877 4.877 4.877 90.00 90.00 90.00
Sites, in units of the cell vectors:
N  0.000  0.000  0.000
Tm  0.500  0.000  0.000
Tm  0.000  0.000  0.500
Tm  0.000  0.500  0.000
Er  0.500  0.500  0.500

Values from the calculation:
The calculation puts the electronic total energy at -5.80 eV per atom. The raw formation energy comes out at -0.539 eV per atom. The density of states at the Fermi level comes out at 6.59 states/eV/cell. The calculation puts the magnetic moment at 0.00 μB/f.u.